Record 1
Material: ZnFeCuSi
Method: DFT, PBE
State: optimized geometry

Geometry as POSCAR:
```
ZnFeCuSi
1.0
0.000 2.881 2.881
2.881 0.000 2.881
2.881 2.881 0.000
Si Cu Fe Zn
1 1 1 1
Cartesian
1.441 1.441 1.441 Si
4.322 4.322 4.322 Cu
0.000 0.000 0.000 Fe
2.881 2.881 2.881 Zn
```

V ... 47.8 Å³ per cell
Total magnetic moment ... 1.44 Bohr magnetons per cell

***

Record 2
Material: ZnFeCuSi
Method: DFT, PBE
State: optimized geometry

Geometry as POSCAR:
```
ZnFeCuSi
1.0
0.000 2.865 2.865
2.865 0.000 2.865
2.865 2.865 0.000
Si Cu Zn Fe
1 1 1 1
Cartesian
1.433 1.433 1.433 Si
0.000 0.000 0.000 Cu
4.298 4.298 4.298 Zn
2.865 2.865 2.865 Fe
```

V ... 47.0 Å³ per cell
Total magnetic moment ... 1.36 Bohr magnetons per cell

***

Q: Which distance to the lowest polymorph of the same formula values were calculated for the entries above? A: 43 0, in kJ/mol of formula units.